Hg2TeBr | PBE-GGA | relaxed

The structure in POSCAR format:
```
Hg2TeBr
1.0
0.000 3.790 3.790
3.790 0.000 3.790
3.790 3.790 0.000
Hg Br Te
2 1 1
direct
0.250 0.250 0.250 Hg
0.750 0.750 0.750 Hg
0.000 0.000 0.000 Br
0.500 0.500 0.500 Te
```

## Properties
ρ = 9.28 g/cm3
SG = Fm-3m
uncorrected formation energy = 0.0660 eV per atom

K2SbRu | PBE-GGA | relaxed

The structure in POSCAR format:
```
K2SbRu
1.0
3.117 -0.001 0.000
0.001 3.117 0.000
0.000 0.000 11.087
Sb K Ru
1 2 1
direct
0.500 0.500 0.750 Sb
0.000 0.000 0.487 K
0.000 0.000 0.013 K
0.500 0.500 0.250 Ru
```

## Properties
ρ = 4.64 g/cm3
SG = P4/mmm
uncorrected formation energy = 0.6668 eV per atom

LiNpCoS3 | PBE-GGA | relaxed

The structure in POSCAR format:
```
LiNpCoS3
1.0
-0.488 -0.897 -3.612
7.219 1.418 -1.327
0.071 -8.858 2.191
Co S Np Li
2 6 2 2
direct
0.750 0.920 0.409 Co
0.250 0.080 0.591 Co
0.750 0.207 0.534 S
0.750 0.929 0.161 S
0.250 0.595 0.858 S
0.750 0.405 0.142 S
0.250 0.793 0.466 S
0.250 0.071 0.839 S
0.750 0.325 0.832 Np
0.250 0.675 0.168 Np
0.250 0.165 0.132 Li
0.750 0.835 0.868 Li
```

## Properties
ρ = 5.31 g/cm3
SG = P2_1/m
uncorrected formation energy = -1.0250 eV per atom

PmNpSe2N | PBE-GGA | relaxed

The structure in POSCAR format:
```
PmNpSe2N
1.0
-0.997 -3.364 1.841
-1.175 -1.543 -3.455
13.685 -5.305 -2.284
Np Pm Se N
2 2 4 2
direct
0.000 0.500 0.426 Np
0.500 0.000 0.574 Np
0.500 0.000 0.131 Pm
0.000 0.500 0.869 Pm
0.000 0.500 0.087 Se
0.500 0.000 0.913 Se
0.500 0.000 0.320 Se
0.000 0.500 0.680 Se
0.000 0.000 0.500 N
0.500 0.500 0.500 N
```

## Properties
ρ = 7.89 g/cm3
SG = P4/nmm
uncorrected formation energy = -1.5044 eV per atom

LiCuAg | PBE-GGA | relaxed

The structure in POSCAR format:
```
LiCuAg
1.0
2.784 0.000 0.000
0.000 4.896 -0.585
-1.392 -1.562 6.837
Ag Cu Li
2 2 2
direct
0.249 0.247 0.498 Ag
0.751 0.753 0.502 Ag
0.423 0.077 0.845 Cu
0.577 0.923 0.155 Cu
0.081 0.411 0.162 Li
0.919 0.589 0.838 Li
```

## Properties
energy of formation from the pure elements = -0.05 eV/f.u.
ρ = 6.54 g/cm3
SG = C2/m

SrCaSe3 | PBE-GGA | relaxed

The structure in POSCAR format:
```
SrCaSe3
1.0
-0.856 3.647 4.251
-5.149 -2.206 0.855
2.205 -3.734 3.647
Se Ca Sr
3 1 1
direct
0.000 0.000 0.500 Se
0.000 0.500 0.000 Se
0.500 0.000 0.000 Se
0.500 0.500 0.500 Ca
0.000 0.000 0.000 Sr
```

## Properties
ρ = 3.33 g/cm3
SG = Pm-3m
uncorrected formation energy = -0.6213 eV per atom

NpMnFe | PBE-GGA | relaxed

The structure in POSCAR format:
```
NpMnFe
1.0
-2.314 1.048 -2.343
-2.710 -1.515 -1.519
-8.427 3.005 5.301
Np Mn Fe
2 2 2
direct
0.398 0.398 0.266 Np
0.355 0.355 0.042 Np
0.491 0.491 0.716 Mn
0.262 0.262 0.591 Mn
0.124 0.124 0.858 Fe
0.630 0.630 0.449 Fe
```

## Properties
energy of formation from the pure elements = 1.33 eV/f.u.
ρ = 13.51 g/cm3
SG = C2/m

NaLaAg2Cl6 | PBE-GGA | relaxed

The structure in POSCAR format:
```
NaLaAg2Cl6
1.0
7.127 -0.064 0.014
-3.618 6.149 -0.072
-3.529 -2.072 6.569
Cl Ag Na La
6 2 1 1
direct
0.837 0.601 0.711 Cl
0.492 0.095 0.222 Cl
0.493 0.893 0.724 Cl
0.093 0.208 0.688 Cl
0.838 0.731 0.218 Cl
0.161 0.411 0.237 Cl
0.598 0.805 0.356 Ag
0.466 0.234 0.693 Ag
0.000 0.003 0.986 Na
0.987 0.495 0.466 La
```

## Properties
ρ = 3.43 g/cm3
SG = P1
uncorrected formation energy = -1.4752 eV per atom

OsPtSCl2 | PBE-GGA | relaxed

The structure in POSCAR format:
```
OsPtSCl2
1.0
4.882 0.000 0.000
0.000 4.882 0.000
0.000 0.000 4.387
Cl Os Pt S
2 1 1 1
direct
0.500 0.000 0.000 Cl
0.000 0.500 0.000 Cl
0.000 0.000 0.000 Os
0.500 0.500 0.500 Pt
0.000 0.000 0.500 S
```

## Properties
ρ = 7.75 g/cm3
SG = P4/mmm
uncorrected formation energy = 0.8880 eV per atom

Fe2HgW | PBE-GGA | relaxed

The structure in POSCAR format:
```
Fe2HgW
1.0
8.741 0.098 0.058
8.230 2.949 0.058
8.230 1.478 2.552
Fe W Hg
2 1 1
direct
0.493 0.493 0.493 Fe
0.007 0.007 0.007 Fe
0.750 0.750 0.750 W
0.250 0.250 0.250 Hg
```

## Properties
energy of formation from the pure elements = 1.85 eV/f.u.
ρ = 13.22 g/cm3
SG = R-3m

SbTe6As3 | PBE-GGA | relaxed

The structure in POSCAR format:
```
SbTe6As3
1.0
4.131 0.000 0.000
0.000 13.274 -3.673
0.000 0.106 11.959
As Te Sb
6 12 2
direct
0.250 0.871 0.922 As
0.750 0.444 0.864 As
0.250 0.556 0.136 As
0.750 0.129 0.078 As
0.750 0.665 0.414 As
0.250 0.335 0.586 As
0.750 0.138 0.507 Te
0.250 0.862 0.493 Te
0.750 0.788 0.762 Te
0.250 0.528 0.372 Te
0.750 0.711 0.213 Te
0.250 0.289 0.787 Te
0.750 0.472 0.628 Te
0.250 0.594 0.917 Te
0.750 0.406 0.083 Te
0.250 0.051 0.880 Te
0.250 0.212 0.238 Te
0.750 0.949 0.120 Te
0.250 0.040 0.340 Sb
0.750 0.960 0.660 Sb
```

## Properties
ρ = 5.62 g/cm3
SG = P2_1/m
uncorrected formation energy = -0.0212 eV per atom

MnCoSiPd | PBE-GGA | relaxed

The structure in POSCAR format:
```
MnCoSiPd
1.0
-0.422 -4.015 1.081
3.302 -2.145 1.401
0.214 -1.115 4.022
Co Pd Mn Si
1 1 1 1
direct
0.000 0.000 0.000 Co
0.500 0.500 0.500 Pd
0.250 0.250 0.250 Mn
0.750 0.750 0.750 Si
```

## Properties
ρ = 7.99 g/cm3
SG = F-43m
uncorrected formation energy = -0.2762 eV per atom

> Among the records above, which one has the lowest ρ?

SrCaSe3

> The lowest ρ belongs to which entry?

SrCaSe3

> Among the records above, which one has the lowest ρ?

SrCaSe3

> Which value of ρ does entry 5 give?

6.54 g/cm3